[1]
The following is a GGA-PBEsol calculation of crystalline ScBeRe2 at its relaxed geometry, from the Alexandria database.

Values from the calculation:
ΔE_f = 49 meV/atom

Cell lengths 3.1035, 3.1035, 6.0268 Å; angles 90.00, 90.00, 90.00 degrees
Last column: nearest neighbours and their distance in Å.
Space group P4/mmm (No. 123)
One atom of each set of equivalent atoms:
Sc 0.0000 0.0000 0.0000  8 Re 2.87, 2 Be 3.01, 4 Sc 3.10
Be 0.0000 0.0000 0.5000  8 Re 2.48
Re 0.5000 0.5000 0.3069  1 Re 2.33, 4 Be 2.48

[2]
The following is a GGA-PBEsol calculation of crystalline BaLa2Sb at its relaxed geometry, from the Alexandria database.

Values from the calculation:
Uncorrected formation energy = -0.507 eV per atom

Cell lengths 4.1950, 4.1950, 8.3061 Å; angles 90.00, 90.00, 90.00 degrees
Last column: nearest neighbours and their distance in Å.
Space group P4mm (No. 99)
One atom of each set of equivalent atoms:
Ba 0.0000 0.0000 0.0000  1 La 3.47, 4 Sb 3.65
La 0.0000 0.0000 0.5822  4 Sb 3.26, 1 Ba 3.47, 4 La 3.55
La 0.5000 0.5000 0.3481  1 Sb 3.29, 4 La 3.55
Sb 0.5000 0.5000 0.7445  5 La 3.26-3.29, 4 Ba 3.65

[3]
The following is a GGA-PBEsol calculation of crystalline YMnNi2 at its relaxed geometry, from the Alexandria database.

Values from the calculation:
E above lowest polymorph = 144 meV per atom
ΔE_f = -40 meV/atom

Cell lengths 3.1299, 3.1299, 6.1038 Å; angles 90.00, 90.00, 90.00 degrees
Last column: nearest neighbours and their distance in Å.
Space group P4/mmm (No. 123)
One atom of each set of equivalent atoms:
Y 0.0000 0.0000 0.0000  8 Ni 2.85, 2 Mn 3.05, 4 Y 3.13
Mn 0.0000 0.0000 0.5000  8 Ni 2.54
Ni 0.5000 0.5000 0.2944  1 Ni 2.51, 4 Mn 2.54

[4]
The following is a GGA-PBEsol calculation of crystalline Cd2TcSe at its relaxed geometry, from the Alexandria database.

Values from the calculation:
Uncorrected formation energy = 0.554 eV per atom

Cell lengths 6.6235, 6.6235, 6.6235 Å; angles 90.00, 90.00, 90.00 degrees
Last column: nearest neighbours and their distance in Å.
Space group F-43m (No. 216)
One atom of each set of equivalent atoms:
Cd 0.0000 0.0000 0.0000  4 Tc 2.87, 4 Cd 2.87
Cd 0.2500 0.2500 0.2500  4 Cd 2.87, 4 Se 2.87
Tc 0.2500 0.2500 0.7500  4 Se 2.87, 4 Cd 2.87
Se 0.0000 0.0000 0.5000  4 Cd 2.87, 4 Tc 2.87

[5]
The following is a GGA-PBEsol calculation of crystalline Ca2ZnIr at its relaxed geometry, from the Alexandria database.

Values from the calculation:
ΔE_f = -294 meV/atom

Cell lengths 4.2101, 4.1731, 10.5038 Å; angles 90.00, 90.00, 90.00 degrees
Last column: nearest neighbours and their distance in Å.
Space group Amm2 (No. 38)
One atom of each set of equivalent atoms:
Ca 0.0000 0.0000 0.0000  3 Zn 2.98-3.12, 4 Ir 3.08
Ca 0.5000 0.0000 0.2833  3 Ir 2.99-3.11, 4 Zn 3.08
Zn 0.0000 0.0000 0.7027  2 Ir 2.47
Ir 0.5000 0.0000 0.5797  2 Zn 2.47

[6]
The following is a GGA-PBEsol calculation of crystalline LiTlTc4 at its relaxed geometry, from the Alexandria database.

Values from the calculation:
ΔE_f = 511 meV/atom

Cell lengths 7.2677, 7.2677, 7.2677 Å; angles 90.00, 90.00, 90.00 degrees
Last column: nearest neighbours and their distance in Å.
Space group F-43m (No. 216)
One atom of each set of equivalent atoms:
Li 0.0000 0.0000 0.0000  12 Tc 3.01, 4 Tl 3.15
Tl 0.2500 0.2500 0.7500  12 Tc 3.01, 4 Li 3.15
Tc 0.1253 0.1253 0.3747  6 Tc 2.56-2.58

[7]
The following is a GGA-PBEsol calculation of crystalline YAgPb2 at its relaxed geometry, from the Alexandria database.

Values from the calculation:
ΔE_f = -275 meV/atom

Cell lengths 4.4131, 4.4131, 10.0126 Å; angles 90.00, 90.00, 90.00 degrees
Last column: nearest neighbours and their distance in Å.
Space group I-4m2 (No. 119)
One atom of each set of equivalent atoms:
Y 0.0000 0.0000 0.0000  8 Pb 3.12-3.34, 4 Ag 3.34
Ag 0.0000 0.5000 0.2500  8 Pb 3.12-3.34, 4 Y 3.34
Pb 0.0000 0.0000 0.5000  4 Y 3.12, 4 Pb 3.34, 4 Ag 3.34
Pb 0.0000 0.5000 0.7500  4 Ag 3.12, 4 Pb 3.34, 4 Y 3.34

[8]
The following is a GGA-PBEsol calculation of crystalline Sb2S3O12 at its relaxed geometry, from the Alexandria database.

Values from the calculation:
E above lowest polymorph = 13 meV per atom
Uncorrected formation energy = -1.318 eV per atom

Cell lengths 16.1799, 7.4621, 9.7697 Å; angles 90.00, 123.71, 90.00 degrees
Last column: nearest neighbours and their distance in Å.
Space group C2/c (No. 15)
One atom of each set of equivalent atoms:
Sb 0.1269 0.2454 0.1757  5 O 2.06-2.29
S 0.0000 0.0965 0.7500  4 O 1.48-1.49
S 0.1199 0.3377 0.5084  4 O 1.44-1.51
O 0.0085 0.3603 0.4025  1 S 1.51
O 0.0461 0.2132 0.8967  1 S 1.48
O 0.0778 0.0183 0.2587  1 S 1.49
O 0.1513 0.1658 0.5888  1 S 1.44
O 0.1566 0.3747 0.4001  1 S 1.50
O 0.1610 0.4846 0.6336  1 S 1.50

[9]
The following is a GGA-PBEsol calculation of crystalline Tl2PbAu2 at its relaxed geometry, from the Alexandria database.

Values from the calculation:
ΔE_f = 18 meV/atom

Cell lengths 7.8406, 7.8406, 3.8628 Å; angles 90.00, 90.00, 90.00 degrees
Last column: nearest neighbours and their distance in Å.
Space group P4/mbm (No. 127)
One atom of each set of equivalent atoms:
Tl 0.1709 0.3291 0.0000  6 Au 2.96-3.05
Pb 0.0000 0.0000 0.5000  4 Au 3.09
Au 0.1265 0.6265 0.5000  1 Au 2.80, 6 Tl 2.96-3.05, 2 Pb 3.09

[10]
The following is a GGA-PBEsol calculation of crystalline HfCoSe2N at its relaxed geometry, from the Alexandria database.

Values from the calculation:
Uncorrected formation energy = 0.417 eV per atom

Cell lengths 5.1644, 5.1644, 3.9549 Å; angles 90.00, 90.00, 90.00 degrees
Last column: nearest neighbours and their distance in Å.
Space group P4/mmm (No. 123)
One atom of each set of equivalent atoms:
Hf 0.0000 0.0000 0.0000  2 N 1.98
Co 0.5000 0.5000 0.5000  8 Se 3.25
Se 0.0000 0.5000 0.0000  2 Hf 2.58
N 0.0000 0.0000 0.5000  2 Hf 1.98

[11]
The following is a GGA-PBEsol calculation of crystalline LiSiBr at its relaxed geometry, from the Alexandria database.

Values from the calculation:
Uncorrected formation energy = -0.044 eV per atom

Cell lengths 3.3928, 3.3928, 5.8705 Å; angles 90.00, 90.00, 120.00 degrees
Last column: nearest neighbours and their distance in Å.
Space group P3m1 (No. 156)
One atom of each set of equivalent atoms:
Li 0.0000 0.0000 0.0000  3 Br 2.49
Si 0.3333 0.6667 0.6472  3 Li 2.85, 3 Br 3.00
Br 0.6667 0.3333 0.2612  3 Li 2.49

[12]
The following is a GGA-PBEsol calculation of crystalline ZnIr2Cl at its relaxed geometry, from the Alexandria database.

Values from the calculation:
E above lowest polymorph = 110 meV per atom
Uncorrected formation energy = 0.421 eV per atom

Cell lengths 2.7459, 4.3634, 4.8628 Å; angles 90.00, 90.00, 90.00 degrees
Last column: nearest neighbours and their distance in Å.
Space group Pmmm (No. 47)
One atom of each set of equivalent atoms:
Zn 0.0000 0.0000 0.0000  4 Ir 2.58, 2 Zn 2.75, 4 Cl 2.79
Ir 0.0000 0.5000 0.5000  4 Cl 2.58, 6 Ir 2.75-2.79
Ir 0.5000 0.5000 0.0000  4 Zn 2.58, 6 Ir 2.75-2.79
Cl 0.5000 0.0000 0.5000  4 Ir 2.58, 2 Cl 2.75, 4 Zn 2.79

[13]
The following is a GGA-PBEsol calculation of crystalline Sb2Br at its relaxed geometry, from the Alexandria database.

Values from the calculation:
E above lowest polymorph = 21 meV per atom
Uncorrected formation energy = -0.151 eV per atom

Cell lengths 10.8427, 4.1096, 8.7554 Å; angles 90.00, 98.39, 90.00 degrees
Last column: nearest neighbours and their distance in Å.
Space group C2/m (No. 12)
One atom of each set of equivalent atoms:
Sb 0.1008 0.0000 0.2884  1 Br 2.63, 2 Sb 2.89
Sb 0.1298 0.5000 0.0643  3 Sb 2.88-2.89
Br 0.1556 0.5000 0.6361  1 Sb 2.63

[14]
The following is a GGA-PBEsol calculation of crystalline As2IrPb at its relaxed geometry, from the Alexandria database.

Values from the calculation:
E above lowest polymorph = 530 meV per atom
ΔE_f = 481 meV/atom

Cell lengths 4.4062, 4.4062, 7.7087 Å; angles 90.00, 90.00, 90.00 degrees
Last column: nearest neighbours and their distance in Å.
Space group I-4m2 (No. 119)
One atom of each set of equivalent atoms:
As 0.0000 0.0000 0.0000  4 As 2.93, 4 Pb 2.93, 4 Ir 3.12
As 0.0000 0.5000 0.2500  4 As 2.93, 4 Ir 2.93, 4 Pb 3.12
Ir 0.0000 0.0000 0.5000  8 As 2.93-3.12, 4 Pb 2.93
Pb 0.0000 0.5000 0.7500  4 Ir 2.93, 8 As 2.93-3.12

[15]
The following is a GGA-PBEsol calculation of crystalline Os5W at its relaxed geometry, from the Alexandria database.

Values from the calculation:
E above lowest polymorph = 0 meV per atom
ΔE_f = -31 meV/atom

Cell lengths 4.7639, 4.7639, 4.3343 Å; angles 90.00, 90.00, 120.00 degrees
Last column: nearest neighbours and their distance in Å.
Space group P-62m (No. 189)
One atom of each set of equivalent atoms:
Os 0.0000 0.3386 0.0000  10 Os 2.68-2.79, 2 W 2.70
Os 0.3333 0.6667 0.5000  9 Os 2.68-2.75, 3 W 2.75
W 0.0000 0.0000 0.5000  12 Os 2.70-2.75

[16]
The following is a GGA-PBEsol calculation of crystalline YRhN2 at its relaxed geometry, from the Alexandria database.

Values from the calculation:
Uncorrected formation energy = 0.224 eV per atom

Cell lengths 3.3323, 3.3323, 17.4915 Å; angles 90.00, 90.00, 120.00 degrees
Last column: nearest neighbours and their distance in Å.
Space group R-3m (No. 166, hexagonal axes)
One atom of each set of equivalent atoms:
Y 0.0000 0.0000 0.0000  2 N 2.16
Rh 0.0000 0.0000 0.5000  6 N 2.07
N 0.0000 0.0000 0.1237  3 Rh 2.07, 1 Y 2.16

[17]
The following is a GGA-PBEsol calculation of crystalline MnTc3F at its relaxed geometry, from the Alexandria database.

Values from the calculation:
Uncorrected formation energy = 1.487 eV per atom

Cell lengths 4.3688, 4.3688, 4.3688 Å; angles 90.00, 90.00, 90.00 degrees
Last column: nearest neighbours and their distance in Å.
Space group Pm-3m (No. 221)
One atom of each set of equivalent atoms:
Mn 0.0000 0.0000 0.0000  6 Tc 2.18
Tc 0.0000 0.0000 0.5000  2 Mn 2.18
F 0.5000 0.5000 0.5000  12 Tc 3.09

[18]
The following is a GGA-PBEsol calculation of crystalline LiCa2In2 at its relaxed geometry, from the Alexandria database.

Values from the calculation:
ΔE_f = -338 meV/atom

Cell lengths 8.2794, 8.2794, 4.1600 Å; angles 90.00, 90.00, 90.00 degrees
Last column: nearest neighbours and their distance in Å.
Space group P4/mbm (No. 127)
One atom of each set of equivalent atoms:
Li 0.0000 0.0000 0.0000  4 In 3.24
Ca 0.1664 0.3336 0.5000  6 In 3.14-3.24
In 0.1323 0.6323 0.0000  1 In 3.10, 6 Ca 3.14-3.24, 2 Li 3.24

[19]
The following is a GGA-PBEsol calculation of crystalline CaY2Pb2 at its relaxed geometry, from the Alexandria database.

Values from the calculation:
ΔE_f = -303 meV/atom

Cell lengths 4.8308, 4.8308, 13.6589 Å; angles 90.00, 90.00, 90.00 degrees
Last column: nearest neighbours and their distance in Å.
Space group I4/mmm (No. 139)
One atom of each set of equivalent atoms:
Ca 0.0000 0.0000 0.0000  8 Pb 3.72
Y 0.0000 0.5000 0.2500  4 Pb 3.10, 4 Y 3.42
Pb 0.0000 0.0000 0.3923  1 Pb 2.94, 4 Y 3.10

[20]
The following is a GGA-PBEsol calculation of crystalline MnSbRu2 at its relaxed geometry, from the Alexandria database.

Values from the calculation:
Uncorrected formation energy = 0.026 eV per atom

Cell lengths 4.2907, 4.2907, 3.1839 Å; angles 90.00, 90.00, 90.00 degrees
Last column: nearest neighbours and their distance in Å.
Space group P4/mmm (No. 123)
One atom of each set of equivalent atoms:
Mn 0.0000 0.0000 0.0000  8 Ru 2.67
Sb 0.5000 0.5000 0.0000  8 Ru 2.67
Ru 0.0000 0.5000 0.5000  4 Sb 2.67, 4 Mn 2.67

[21]
The following is a GGA-PBEsol calculation of crystalline La2MnRh at its relaxed geometry, from the Alexandria database.

Values from the calculation:
E above lowest polymorph = 67 meV per atom
ΔE_f = -42 meV/atom

Cell lengths 7.1163, 7.1235, 3.5381 Å; angles 90.00, 90.00, 90.00 degrees
Last column: nearest neighbours and their distance in Å.
Space group Cmmm (No. 65)
One atom of each set of equivalent atoms:
La 0.2500 0.2500 0.0000  4 Mn 3.08, 4 Rh 3.08
Mn 0.0000 0.0000 0.5000  8 La 3.08
Rh 0.0000 0.5000 0.5000  8 La 3.08

[22]
The following is a GGA-PBEsol calculation of crystalline BeAgSb2 at its relaxed geometry, from the Alexandria database.

Values from the calculation:
Uncorrected formation energy = 0.266 eV per atom

Cell lengths 3.1698, 3.3919, 7.6180 Å; angles 90.00, 90.00, 90.00 degrees
Last column: nearest neighbours and their distance in Å.
Space group Pmm2 (No. 25)
One atom of each set of equivalent atoms:
Be 0.0000 0.0000 0.0000  4 Ag 2.57, 4 Sb 2.84
Ag 0.5000 0.5000 0.8558  4 Be 2.57, 1 Sb 2.73
Sb 0.0000 0.0000 0.6159  1 Be 2.93, 4 Ag 2.95, 2 Sb 3.17
Sb 0.5000 0.5000 0.2146  1 Ag 2.73, 4 Be 2.84

[23]
The following is a GGA-PBEsol calculation of crystalline LaCd2Rh2 at its relaxed geometry, from the Alexandria database.

Values from the calculation:
E above lowest polymorph = 0 meV per atom
ΔE_f = -347 meV/atom

Cell lengths 7.6486, 7.6486, 3.2452 Å; angles 90.00, 90.00, 90.00 degrees
Last column: nearest neighbours and their distance in Å.
Space group P4/mbm (No. 127)
One atom of each set of equivalent atoms:
La 0.0000 0.0000 0.0000  4 Rh 2.86
Cd 0.1323 0.3677 0.5000  6 Rh 2.73-2.80, 1 Cd 2.86
Rh 0.1646 0.6646 0.0000  6 Cd 2.73-2.80, 2 La 2.86

[24]
The following is a GGA-PBEsol calculation of crystalline K2Hg3Ge2S8 at its relaxed geometry, from the Alexandria database.

Values from the calculation:
Uncorrected formation energy = -0.546 eV per atom

Cell lengths 19.2014, 9.6129, 8.3231 Å; angles 90.00, 90.00, 90.00 degrees
Last column: nearest neighbours and their distance in Å.
Space group Aea2 (No. 41)
One atom of each set of equivalent atoms:
K 0.1157 0.2012 0.0000  7 S 3.18-3.44
Hg 0.0000 0.0000 0.6391  2 S 2.36
Hg 0.2446 0.4550 0.8004  2 S 2.44-2.45
Ge 0.1348 0.2108 0.4907  4 S 2.18-2.25
S 0.0379 0.2331 0.6409  1 Ge 2.25, 1 Hg 2.36
S 0.1231 0.0168 0.3460  1 Ge 2.23, 1 Hg 2.44
S 0.1318 0.4025 0.3390  1 Ge 2.23, 1 Hg 2.45
S 0.2296 0.2075 0.6352  1 Ge 2.18

[25]
The following is a GGA-PBEsol calculation of crystalline FeNiIr2 at its relaxed geometry, from the Alexandria database.

Values from the calculation:
E above lowest polymorph = 18 meV per atom
ΔE_f = -9 meV/atom

Cell lengths 8.4532, 2.6442, 4.5983 Å; angles 90.00, 100.36, 90.00 degrees
Last column: nearest neighbours and their distance in Å.
Space group C2/m (No. 12)
One atom of each set of equivalent atoms:
Fe 0.0000 0.0000 0.0000  6 Ir 2.57-2.60, 2 Fe 2.64, 4 Ni 2.65
Ni 0.0000 0.5000 0.5000  6 Ir 2.56-2.59, 2 Ni 2.64, 4 Fe 2.65
Ir 0.2480 0.5000 0.2507  3 Ni 2.56-2.59, 3 Fe 2.57-2.60, 6 Ir 2.64-2.66

Total magnetization per entry: 0.000 0.000 1.111 0.441 0.000 0.000 0.000 0.000 0.000 0.727 0.000 0.000 0.000 0.000 0.000 0.000 0.690 0.000 0.001 0.981 0.746 0.000 0.000 0.000 0.731 μB per atom